VASP calculation (GGA-PBE) on a relaxed SmDy5Ru3 crystal.

Properties
Its final energy is -6.381 eV/atom. The spin magnetization is 0.00 μB per cell. For the volume, the calculation gives 1025.1 Å³/cell. The formation energy is -208 meV per atom.

```
data_SmDy5Ru3
_chemical_formula_sum 'Sm4 Dy20 Ru12'
_cell_length_a 12.342
_cell_length_b 9.016
_cell_length_c 9.990
_cell_angle_alpha 90.00
_cell_angle_beta 112.75
_cell_angle_gamma 90.00
_symmetry_space_group_name_H-M 'C 1 2/m 1'
_symmetry_Int_Tables_number 12
_symmetry_space_group_name_Hall '-C 2y'
loop_
_atom_site_label
_atom_site_fract_x
_atom_site_fract_y
_atom_site_fract_z
_atom_site_occupancy
Sm1 0.105 0.000 0.301 1
Dy1 0.000 0.302 0.000 1
Dy2 0.070 0.500 0.370 1
Dy3 0.164 0.199 0.670 1
Dy4 0.233 0.000 0.033 1
Ru1 0.000 0.000 0.000 1
Ru2 0.000 0.000 0.500 1
Ru3 0.162 0.500 0.669 1
Ru4 0.168 0.500 0.167 1
```

VASP calculation (GGA-PBE) on a relaxed SmDy2Ru crystal.

Properties
The value obtained for the energy above the most stable polymorph in this dataset is 395 meV per atom. Its final energy is -5.700 eV/atom. The spin magnetization is 0.00 μB per cell. For the volume, the calculation gives 345.7 Å³/cell. The formation energy is 100 meV per atom.

```
data_SmDy2Ru
_chemical_formula_sum 'Sm3 Dy6 Ru3'
_cell_length_a 3.5129
_cell_length_b 3.5129
_cell_length_c 32.3471
_cell_angle_alpha 90.00
_cell_angle_beta 90.00
_cell_angle_gamma 120.00
_symmetry_space_group_name_H-M 'R -3 m'
_symmetry_Int_Tables_number 166
_symmetry_space_group_name_Hall '-R 3 2"'
loop_
_atom_site_label
_atom_site_fract_x
_atom_site_fract_y
_atom_site_fract_z
_atom_site_occupancy
Sm1 0.0000 0.0000 0.0000 1
Dy1 0.0000 0.0000 0.1082 1
Ru1 0.0000 0.0000 0.5000 1
```

VASP calculation (GGA-PBE) on a relaxed SmDy3Ru crystal.

Properties
The value obtained for the energy above the most stable polymorph in this dataset is 0 meV per atom. Its final energy is -5.691 eV/atom. The spin magnetization is 0.00 μB per cell. For the volume, the calculation gives 597.7 Å³/cell. The formation energy is -131 meV per atom.

```
data_SmDy3Ru
_chemical_formula_sum 'Sm4 Dy12 Ru4'
_cell_length_a 9.317
_cell_length_b 7.359
_cell_length_c 8.717
_cell_angle_alpha 90.00
_cell_angle_beta 90.00
_cell_angle_gamma 90.00
_symmetry_space_group_name_H-M 'I m a 2'
_symmetry_Int_Tables_number 46
_symmetry_space_group_name_Hall 'I 2 -2a'
loop_
_atom_site_label
_atom_site_fract_x
_atom_site_fract_y
_atom_site_fract_z
_atom_site_occupancy
Sm1 0.250 0.018 0.000 1
Dy1 0.038 0.750 0.250 1
Dy2 0.250 0.022 0.499 1
Ru1 0.250 0.249 0.750 1
```

VASP calculation (GGA-PBE) on a relaxed SmDy2Ru crystal.

Properties
The value obtained for the energy above the most stable polymorph in this dataset is 0 meV per atom. Its final energy is -6.094 eV/atom. The spin magnetization is 0.00 μB per cell. For the volume, the calculation gives 432.7 Å³/cell. The formation energy is -295 meV per atom.

```
data_SmDy2Ru
_chemical_formula_sum 'Sm4 Dy8 Ru4'
_cell_length_a 7.323
_cell_length_b 9.266
_cell_length_c 6.376
_cell_angle_alpha 90.00
_cell_angle_beta 90.00
_cell_angle_gamma 90.00
_symmetry_space_group_name_H-M 'P n m a'
_symmetry_Int_Tables_number 62
_symmetry_space_group_name_Hall '-P 2ac 2n'
loop_
_atom_site_label
_atom_site_fract_x
_atom_site_fract_y
_atom_site_fract_z
_atom_site_occupancy
Sm1 0.041 0.250 0.134 1
Dy1 0.176 0.066 0.668 1
Ru1 0.114 0.750 0.453 1
```

VASP calculation (GGA-PBE) on a relaxed Sm3DyRu8 crystal.

Properties
Its final energy is -7.969 eV/atom. The spin magnetization is 0.00 μB per cell. For the volume, the calculation gives 660.8 Å³/cell. The formation energy is -222 meV per atom.

```
data_Sm3DyRu8
_chemical_formula_sum 'Sm9 Dy3 Ru24'
_cell_length_a 5.3691
_cell_length_b 5.3691
_cell_length_c 26.4686
_cell_angle_alpha 90.00
_cell_angle_beta 90.00
_cell_angle_gamma 120.00
_symmetry_space_group_name_H-M 'R 3 m'
_symmetry_Int_Tables_number 160
_symmetry_space_group_name_Hall 'R 3 -2"'
loop_
_atom_site_label
_atom_site_fract_x
_atom_site_fract_y
_atom_site_fract_z
_atom_site_occupancy
Sm1 0.0000 0.0000 0.0000 1
Sm2 0.0000 0.0000 0.1250 1
Sm3 0.0000 0.0000 0.5000 1
Dy1 0.0000 0.0000 0.6247 1
Ru1 0.0000 0.0000 0.3085 1
Ru2 0.0000 0.0000 0.8087 1
Ru3 0.0046 0.5023 0.0611 1
Ru4 0.0075 0.5038 0.5625 1
```

VASP calculation (GGA-PBE) on a relaxed Sm3DyRu crystal.

Properties
The value obtained for the energy above the most stable polymorph in this dataset is 0 meV per atom. Its final energy is -5.737 eV/atom. The spin magnetization is 0.00 μB per cell. For the volume, the calculation gives 615.4 Å³/cell. The formation energy is -130 meV per atom.

```
data_Sm3DyRu
_chemical_formula_sum 'Sm12 Dy4 Ru4'
_cell_length_a 9.418
_cell_length_b 7.484
_cell_length_c 8.731
_cell_angle_alpha 90.00
_cell_angle_beta 90.00
_cell_angle_gamma 90.00
_symmetry_space_group_name_H-M 'I m a 2'
_symmetry_Int_Tables_number 46
_symmetry_space_group_name_Hall 'I 2 -2a'
loop_
_atom_site_label
_atom_site_fract_x
_atom_site_fract_y
_atom_site_fract_z
_atom_site_occupancy
Sm1 0.040 0.249 0.000 1
Sm2 0.250 0.520 0.752 1
Dy1 0.250 0.525 0.248 1
Ru1 0.250 0.746 0.500 1
```

VASP calculation (GGA-PBE) on a relaxed Sm2Dy3Ru2 crystal.

Properties
Its final energy is -6.274 eV/atom. The spin magnetization is 0.00 μB per cell. For the volume, the calculation gives 370.0 Å³/cell. The formation energy is -303 meV per atom.

```
data_Sm2Dy3Ru2
_chemical_formula_sum 'Sm4 Dy6 Ru4'
_cell_length_a 12.056
_cell_length_b 3.868
_cell_length_c 8.755
_cell_angle_alpha 90.00
_cell_angle_beta 115.01
_cell_angle_gamma 90.00
_symmetry_space_group_name_H-M 'C 1 2/m 1'
_symmetry_Int_Tables_number 12
_symmetry_space_group_name_Hall '-C 2y'
loop_
_atom_site_label
_atom_site_fract_x
_atom_site_fract_y
_atom_site_fract_z
_atom_site_occupancy
Sm1 0.165 0.000 0.305 1
Dy1 0.000 0.500 0.500 1
Dy2 0.122 0.500 0.926 1
Ru1 0.178 0.000 0.730 1
```

VASP calculation (GGA-PBE) on a relaxed SmDyRu crystal.

Properties
The value obtained for the energy above the most stable polymorph in this dataset is 0 meV per atom. Its final energy is -6.480 eV/atom. The spin magnetization is 0.00 μB per cell. For the volume, the calculation gives 443.2 Å³/cell. The formation energy is -281 meV per atom.

```
data_SmDyRu
_chemical_formula_sum 'Sm6 Dy6 Ru6'
_cell_length_a 7.568
_cell_length_b 4.410
_cell_length_c 13.283
_cell_angle_alpha 90.00
_cell_angle_beta 90.83
_cell_angle_gamma 90.00
_symmetry_space_group_name_H-M 'P 1 21/m 1'
_symmetry_Int_Tables_number 11
_symmetry_space_group_name_Hall '-P 2yb'
loop_
_atom_site_label
_atom_site_fract_x
_atom_site_fract_y
_atom_site_fract_z
_atom_site_occupancy
Sm1 0.023 0.250 0.213 1
Sm2 0.361 0.750 0.581 1
Sm3 0.472 0.750 0.882 1
Dy1 0.018 0.250 0.592 1
Dy2 0.150 0.250 0.957 1
Dy3 0.367 0.750 0.291 1
Ru1 0.237 0.250 0.413 1
Ru2 0.240 0.750 0.082 1
Ru3 0.270 0.250 0.751 1
```

VASP calculation (GGA-PBE) on a relaxed Sm3Dy4Ru4 crystal.

Properties
Its final energy is -6.590 eV/atom. The spin magnetization is 0.00 μB per cell. For the volume, the calculation gives 526.5 Å³/cell. The formation energy is -257 meV per atom.

```
data_Sm3Dy4Ru4
_chemical_formula_sum 'Sm6 Dy8 Ru8'
_cell_length_a 3.611
_cell_length_b 8.993
_cell_length_c 16.211
_cell_angle_alpha 90.00
_cell_angle_beta 90.00
_cell_angle_gamma 90.00
_symmetry_space_group_name_H-M 'I m m m'
_symmetry_Int_Tables_number 71
_symmetry_space_group_name_Hall '-I 2 2'
loop_
_atom_site_label
_atom_site_fract_x
_atom_site_fract_y
_atom_site_fract_z
_atom_site_occupancy
Sm1 0.000 0.000 0.000 1
Sm2 0.000 0.500 0.099 1
Dy1 0.000 0.310 0.334 1
Ru1 0.000 0.000 0.255 1
Ru2 0.000 0.228 0.500 1
```

VASP calculation (GGA-PBE) on a relaxed SmDy3Ru2 crystal.

Properties
The value obtained for the energy above the most stable polymorph in this dataset is 0 meV per atom. Its final energy is -6.499 eV/atom. The spin magnetization is 0.00 μB per cell. For the volume, the calculation gives 291.6 Å³/cell. The formation energy is -319 meV per atom.

```
data_SmDy3Ru2
_chemical_formula_sum 'Sm2 Dy6 Ru4'
_cell_length_a 4.422
_cell_length_b 8.828
_cell_length_c 7.470
_cell_angle_alpha 90.00
_cell_angle_beta 90.00
_cell_angle_gamma 90.00
_symmetry_space_group_name_H-M 'P m c 21'
_symmetry_Int_Tables_number 26
_symmetry_space_group_name_Hall 'P 2c -2'
loop_
_atom_site_label
_atom_site_fract_x
_atom_site_fract_y
_atom_site_fract_z
_atom_site_occupancy
Sm1 0.000 0.084 0.000 1
Dy1 0.000 0.324 0.629 1
Dy2 0.500 0.181 0.336 1
Dy3 0.500 0.417 0.962 1
Ru1 0.000 0.360 0.235 1
Ru2 0.500 0.145 0.729 1
```

VASP calculation (GGA-PBE) on a relaxed SmDy3Ru crystal.

Properties
The value obtained for the energy above the most stable polymorph in this dataset is 15 meV per atom. Its final energy is -5.677 eV/atom. The spin magnetization is 0.00 μB per cell. For the volume, the calculation gives 288.3 Å³/cell. The formation energy is -116 meV per atom.

```
data_SmDy3Ru
_chemical_formula_sum 'Sm2 Dy6 Ru2'
_cell_length_a 4.912
_cell_length_b 9.674
_cell_length_c 6.533
_cell_angle_alpha 90.00
_cell_angle_beta 111.76
_cell_angle_gamma 90.00
_symmetry_space_group_name_H-M 'P 1 21/m 1'
_symmetry_Int_Tables_number 11
_symmetry_space_group_name_Hall '-P 2yb'
loop_
_atom_site_label
_atom_site_fract_x
_atom_site_fract_y
_atom_site_fract_z
_atom_site_occupancy
Sm1 0.140 0.250 0.279 1
Dy1 0.136 0.750 0.269 1
Dy2 0.364 0.000 0.732 1
Ru1 0.496 0.250 0.994 1
```

VASP calculation (GGA-PBE) on a relaxed SmDy5Ru6 crystal.

Properties
Its final energy is -7.241 eV/atom. The spin magnetization is 0.00 μB per cell. For the volume, the calculation gives 475.2 Å³/cell. The formation energy is -292 meV per atom.

```
data_SmDy5Ru6
_chemical_formula_sum 'Sm2 Dy10 Ru12'
_cell_length_a 4.824
_cell_length_b 6.830
_cell_length_c 14.424
_cell_angle_alpha 90.00
_cell_angle_beta 90.00
_cell_angle_gamma 90.00
_symmetry_space_group_name_H-M 'I m m m'
_symmetry_Int_Tables_number 71
_symmetry_space_group_name_Hall '-I 2 2'
loop_
_atom_site_label
_atom_site_fract_x
_atom_site_fract_y
_atom_site_fract_z
_atom_site_occupancy
Sm1 0.000 0.000 0.000 1
Dy1 0.000 0.000 0.333 1
Dy2 0.000 0.500 0.000 1
Dy3 0.000 0.500 0.332 1
Ru1 0.000 0.248 0.500 1
Ru2 0.000 0.251 0.168 1
```